{
  "formula": "Sm2DyPa2Rh5",
  "functional": "GGA-PBE",
  "state": "relaxed",
  "cell": [[10.9223, 0.0000, 0.0000], [0.0000, 10.9223, 0.0000], [0.0000, 0.0000, 3.6156]],
  "species": ["Sm", "Sm", "Sm", "Sm", "Dy", "Dy", "Pa", "Pa", "Pa", "Pa", "Rh", "Rh", "Rh", "Rh", "Rh", "Rh", "Rh", "Rh", "Rh", "Rh"],
  "frac_coords": [[0.1717, 0.3283, 0.0000], [0.3283, 0.8283, 0.0000], [0.6717, 0.1717, 0.0000], [0.8283, 0.6717, 0.0000], [0.0000, 0.0000, 0.0000], [0.5000, 0.5000, 0.0000], [0.1365, 0.6365, 0.0000], [0.3635, 0.1365, 0.0000], [0.6365, 0.8635, 0.0000], [0.8635, 0.3635, 0.0000], [0.0000, 0.5000, 0.5000], [0.0515, 0.7960, 0.5000], [0.2040, 0.0515, 0.5000], [0.2960, 0.5515, 0.5000], [0.4485, 0.2960, 0.5000], [0.5000, 0.0000, 0.5000], [0.5515, 0.7040, 0.5000], [0.7040, 0.4485, 0.5000], [0.7960, 0.9485, 0.5000], [0.9485, 0.2040, 0.5000]],
  "e_form_mev_per_atom": -665.5,
  "sg": "P4/mbm (127)",
  "dos_at_fermi_per_ev_fu": 9.4,
  "e_tot_ev_per_atom": -7.644
}